# TbPm4Er | Alexandria | PBE | optimized geometry
data_TbPm4Er
_symmetry_space_group_name_H-M 'C 1 2/m 1'
_symmetry_Int_Tables_number 12
_cell_length_a 11.128
_cell_length_b 5.993
_cell_length_c 5.999
_cell_angle_alpha 90.00
_cell_angle_beta 90.11
_cell_angle_gamma 90.00
loop_
_symmetry_equiv_pos_as_xyz
'x,y,z'
'-x,-y,-z'
'-x,y,-z'
'x,-y,z'
'x+1/2,y+1/2,z'
'-x+1/2,-y+1/2,-z'
'-x+1/2,y+1/2,-z'
'x+1/2,-y+1/2,z'
loop_
_atom_site_label
_atom_site_type_symbol
_atom_site_fract_x
_atom_site_fract_y
_atom_site_fract_z
Tb1 Tb 0.000 0.000 0.000
Pm1 Pm 0.162 0.000 0.487
Pm2 Pm 0.162 0.500 0.013
Er1 Er 0.000 0.500 0.500
# DOS at the Fermi energy (states/eV per cell): 23.23
# E above lowest polymorph (meV per atom): 0
# Total DFT energy (no corrections) (eV per atom): -4.591